Record 1
## SrScGe2 (PBE-GGA)

Data for crystalline SrScGe2 at its relaxed geometry.

Calculated total energy, eV per atom: -4.532
Crystal system: tetragonal
ΔE_f, meV per atom: -220.2

The structure in CIF format:
```
data_SrScGe2
_cell_length_a 5.305
_cell_length_b 5.305
_cell_length_c 17.693
_cell_angle_alpha 90.00
_cell_angle_beta 90.00
_cell_angle_gamma 90.00
_symmetry_space_group_name_H-M 'I -4 2 d'
_symmetry_Int_Tables_number 122
_symmetry_space_group_name_Hall 'I -4 2bw'
loop_
_atom_site_label
_atom_site_type_symbol
_atom_site_fract_x
_atom_site_fract_y
_atom_site_fract_z
Sr1 Sr 0.000 0.000 0.000
Sc1 Sc 0.000 0.000 0.500
Ge1 Ge 0.113 0.250 0.625
```

---

Record 2
## SrScGe (PBE-GGA)

Data for crystalline SrScGe at its relaxed geometry.

Calculated total energy, eV per atom: -4.809
Crystal system: tetragonal
ΔE_f, meV per atom: -598.8

The structure in CIF format:
```
data_SrScGe
_cell_length_a 4.566
_cell_length_b 4.566
_cell_length_c 8.004
_cell_angle_alpha 90.00
_cell_angle_beta 90.00
_cell_angle_gamma 90.00
_symmetry_space_group_name_H-M 'P 4/n m m'
_symmetry_Int_Tables_number 129
loop_
_symmetry_equiv_pos_as_xyz
'x,y,z'
'-x,-y,-z'
'-y+1/2,x,z'
'y+1/2,-x,-z'
'-x+1/2,-y+1/2,z'
'x+1/2,y+1/2,-z'
'y,-x+1/2,z'
'-y,x+1/2,-z'
'x+1/2,-y,-z'
'-x+1/2,y,z'
'-y,-x,-z'
'y,x,z'
'-x,y+1/2,-z'
'x,-y+1/2,z'
'y+1/2,x+1/2,-z'
'-y+1/2,-x+1/2,z'
loop_
_atom_site_label
_atom_site_type_symbol
_atom_site_fract_x
_atom_site_fract_y
_atom_site_fract_z
Sr1 Sr 0.250 0.250 0.149
Sc1 Sc 0.250 0.750 0.500
Ge1 Ge 0.250 0.250 0.717
```

---

Record 3
## SrSc3Ge (PBE-GGA)

Data for crystalline SrSc3Ge at its relaxed geometry.

Calculated total energy, eV per atom: -5.081
Crystal system: cubic
ΔE_f, meV per atom: -22.1
Relative energy among the computed polymorphs, meV/atom: 0

The structure in CIF format:
```
data_SrSc3Ge
_cell_length_a 5.303
_cell_length_b 5.303
_cell_length_c 5.303
_cell_angle_alpha 90.00
_cell_angle_beta 90.00
_cell_angle_gamma 90.00
_symmetry_space_group_name_H-M 'P m -3 m'
_symmetry_Int_Tables_number 221
_symmetry_space_group_name_Hall '-P 4 2 3'
loop_
_atom_site_label
_atom_site_type_symbol
_atom_site_fract_x
_atom_site_fract_y
_atom_site_fract_z
Sr1 Sr 0.000 0.000 0.000
Sc1 Sc 0.000 0.500 0.500
Ge1 Ge 0.500 0.500 0.500
```

---

Record 4
## SrScGe3 (PBE-GGA)

Data for crystalline SrScGe3 at its relaxed geometry.

Calculated total energy, eV per atom: -4.543
Crystal system: cubic
ΔE_f, meV per atom: -170.4

The structure in CIF format:
```
data_SrScGe3
_cell_length_a 5.140
_cell_length_b 5.140
_cell_length_c 5.140
_cell_angle_alpha 90.00
_cell_angle_beta 90.00
_cell_angle_gamma 90.00
_symmetry_space_group_name_H-M 'P m -3 m'
_symmetry_Int_Tables_number 221
_symmetry_space_group_name_Hall '-P 4 2 3'
loop_
_atom_site_label
_atom_site_type_symbol
_atom_site_fract_x
_atom_site_fract_y
_atom_site_fract_z
Sr1 Sr 0.000 0.000 0.000
Sc1 Sc 0.500 0.500 0.500
Ge1 Ge 0.000 0.500 0.500
```

---

Record 5
## SrSc2Ge2 (PBE-GGA)

Data for crystalline SrSc2Ge2 at its relaxed geometry.

Calculated total energy, eV per atom: -5.341
Crystal system: tetragonal
ΔE_f, meV per atom: -625.4
Relative energy among the computed polymorphs, meV/atom: 0

The structure in CIF format:
```
data_SrSc2Ge2
_cell_length_a 4.570
_cell_length_b 4.570
_cell_length_c 12.066
_cell_angle_alpha 90.00
_cell_angle_beta 90.00
_cell_angle_gamma 90.00
_symmetry_space_group_name_H-M 'I 4/m m m'
_symmetry_Int_Tables_number 139
_symmetry_space_group_name_Hall '-I 4 2'
loop_
_atom_site_label
_atom_site_type_symbol
_atom_site_fract_x
_atom_site_fract_y
_atom_site_fract_z
Sr1 Sr 0.000 0.000 0.000
Sc1 Sc 0.000 0.500 0.250
Ge1 Ge 0.000 0.000 0.382
```

---

Record 6
## SrSc2Ge2 (PBE-GGA)

Data for crystalline SrSc2Ge2 at its relaxed geometry.

Calculated total energy, eV per atom: -5.129
Crystal system: tetragonal
ΔE_f, meV per atom: -412.8
Relative energy among the computed polymorphs, meV/atom: 213

The structure in CIF format:
```
data_SrSc2Ge2
_cell_length_a 5.115
_cell_length_b 5.115
_cell_length_c 10.472
_cell_angle_alpha 90.00
_cell_angle_beta 90.00
_cell_angle_gamma 90.00
_symmetry_space_group_name_H-M 'I 4/m m m'
_symmetry_Int_Tables_number 139
_symmetry_space_group_name_Hall '-I 4 2'
loop_
_atom_site_label
_atom_site_type_symbol
_atom_site_fract_x
_atom_site_fract_y
_atom_site_fract_z
Sr1 Sr 0.000 0.000 0.000
Sc1 Sc 0.000 0.000 0.328
Ge1 Ge 0.000 0.500 0.250
```

---

> Which of these has the lowest ΔE_f?

number 5